(1)
RbPtAuO3 | PBE | relaxed

Geometry as extended XYZ:
```
24
Lattice="11.856 0.000 0.000 0.000 3.218 0.000 0.000 0.000 10.578" Properties=species:S:1:pos:R:3 pbc="T T T"
Rb 2.750 0.805 1.593
Rb 3.178 2.414 6.882
Rb 8.677 0.805 3.696
Rb 9.106 2.414 8.985
Pt 0.173 0.805 3.967
Pt 5.755 2.414 9.256
Pt 6.101 0.805 1.322
Pt 11.683 2.414 6.611
Au 0.334 0.805 9.647
Au 5.594 2.414 4.358
Au 6.261 0.805 6.220
Au 11.522 2.414 0.931
O 0.861 2.414 8.324
O 0.952 0.805 5.884
O 1.279 2.414 3.363
O 4.649 0.805 8.652
O 4.976 2.414 0.595
O 5.066 0.805 3.035
O 6.789 2.414 7.542
O 6.880 0.805 9.983
O 7.206 2.414 1.926
O 10.577 0.805 7.214
O 10.904 2.414 4.694
O 10.994 0.805 2.254
```



(2)
Pr3Ni4Ge4 | PBE | relaxed

Geometry as extended XYZ:
```
11
Lattice="-2.083 2.099 12.003 2.083 -2.099 12.003 2.083 2.099 -12.003" Properties=species:S:1:pos:R:3 pbc="T T T"
Pr 0.000 0.000 0.000
Pr 2.083 0.000 8.392
Pr 0.000 2.099 3.611
Ni 2.083 0.000 2.374
Ni 0.000 0.000 5.978
Ni 0.000 0.000 18.029
Ni 0.000 2.099 9.629
Ge 2.083 0.000 4.777
Ge 0.000 0.000 10.721
Ge 0.000 0.000 13.286
Ge 0.000 2.099 7.226
```



(3)
Li4NbAuO6 | PBE | relaxed

Geometry as extended XYZ:
```
12
Lattice="2.619 -4.531 0.000 2.619 4.531 0.000 -1.770 0.000 4.904" Properties=species:S:1:pos:R:3 pbc="T T T"
Li 0.000 0.000 0.000
Li 1.734 3.050 2.452
Li 1.734 0.076 2.452
Li 1.734 -3.153 2.452
Nb 2.619 -1.510 0.000
Au 2.619 1.523 0.000
O 0.749 1.595 1.232
O -0.012 -0.120 3.691
O 0.985 -1.430 1.190
O 2.719 1.595 3.672
O 3.480 -0.120 1.213
O 2.483 -1.430 3.714
```



(4)
HoSnSb | PBE | relaxed

Geometry as extended XYZ:
```
3
Lattice="0.000 3.640 3.640 3.640 0.000 3.640 3.640 3.640 0.000" Properties=species:S:1:pos:R:3 pbc="T T T"
Ho 0.000 0.000 0.000
Sn 3.640 3.640 3.640
Sb 1.820 1.820 1.820
```

Properties
Energy relative to the lowest polymorph listed for this composition   0 meV per atom



(5)
CsPr2Cu3S5 | PBE | relaxed

Geometry as extended XYZ:
```
22
Lattice="2.031 -7.123 0.000 2.031 7.123 0.000 0.000 0.000 17.524" Properties=species:S:1:pos:R:3 pbc="T T T"
Cs 2.031 6.240 13.143
Cs 2.031 -6.240 4.381
Pr 2.031 4.400 1.582
Pr 2.031 4.400 7.180
Pr 2.031 -4.400 10.344
Pr 2.031 -4.400 15.942
Cu 2.031 2.361 13.143
Cu 2.031 1.210 0.589
Cu 2.031 1.210 8.173
Cu 2.031 -1.210 9.351
Cu 2.031 -1.210 16.935
Cu 2.031 -2.361 4.381
S 2.031 4.792 9.970
S 2.031 4.792 16.316
S 2.031 3.869 4.381
S 2.031 0.806 10.600
S 2.031 0.806 15.686
S 2.031 -0.806 1.838
S 2.031 -0.806 6.924
S 2.031 -3.869 13.143
S 2.031 -4.792 1.208
S 2.031 -4.792 7.554
```



(6)
Hf3Sc3FeBi2 | PBE | relaxed

Geometry as extended XYZ:
```
9
Lattice="7.785 0.000 0.000 -3.893 6.742 0.000 0.000 0.000 3.744" Properties=species:S:1:pos:R:3 pbc="T T T"
Hf -2.438 4.222 0.000
Hf 1.455 2.520 0.000
Hf 4.875 0.000 0.000
Sc -0.917 1.588 1.872
Sc 1.834 0.000 1.872
Sc 2.976 5.154 1.872
Fe 0.000 0.000 0.000
Bi 0.000 4.495 1.872
Bi 3.893 2.247 1.872
```

Properties
Energy relative to the lowest polymorph listed for this composition   147 meV per atom



(7)
Tm3As2 | PBE | relaxed

Geometry as extended XYZ:
```
5
Lattice="4.004 0.000 0.000 -2.002 3.467 0.000 0.000 0.000 9.376" Properties=species:S:1:pos:R:3 pbc="T T T"
Tm 0.000 0.000 0.000
Tm 0.000 2.312 3.237
Tm 2.002 1.156 6.139
As 0.000 2.312 7.693
As 2.002 1.156 1.683
```



(8)
ZrCdSi | PBE | relaxed

Geometry as extended XYZ:
```
3
Lattice="0.000 3.150 3.150 3.150 0.000 3.150 3.150 3.150 0.000" Properties=species:S:1:pos:R:3 pbc="T T T"
Zr 0.000 0.000 0.000
Cd 3.150 3.150 3.150
Si 4.725 4.725 4.725
```



The records above yield raw total energy values of -4.84; -5.71; -5.89; -4.43; -5.04; -7.47; -5.66; -5.02 eV per atom, respectively.